#one
An optimized crystal structure of Lu2InO, computed with GGA-PBE.

The structure belongs to space group R-3m (No. 166, hexagonal axes); the cell edges are 3.4430, 3.4430 and 22.6319 Å and the angles 90.00°, 90.00° and 120.00°. The inequivalent atoms are Lu at (0.0000, 0.0000, 0.2238), In at (0.0000, 0.0000, 0.0000) and O at (0.0000, 0.0000, 0.5000).

The magnetization is 0.000 μB per cell.

#two
An optimized crystal structure of Lu2InO, computed with GGA-PBE.

The structure belongs to space group P4/mmm (No. 123); the cell edges are 3.0584, 3.0584 and 7.8285 Å and the angles 90.00°, 90.00° and 90.00°. The inequivalent atoms are Lu at (0.0000, 0.0000, 0.1970), In at (0.5000, 0.5000, 0.5000) and O at (0.5000, 0.5000, 0.0000).

The magnetization is 0.622 μB per cell.

The most stable of them is #one.

#one
An optimized crystal structure of Lu2PaIn, computed with GGA-PBE.

The structure belongs to space group P4/mmm (No. 123); the cell edges are 4.7894, 4.7894 and 4.5382 Å and the angles 90.00°, 90.00° and 90.00°. The inequivalent atoms are Lu at (0.0000, 0.5000, 0.0000), Pa at (0.0000, 0.0000, 0.5000) and In at (0.5000, 0.5000, 0.5000).

The magnetization is 0.000 μB per cell.

#two
An optimized crystal structure of Lu2PaIn, computed with GGA-PBE.

The structure belongs to space group P4/mmm (No. 123); the cell edges are 3.3880, 3.3880 and 9.1333 Å and the angles 90.00°, 90.00° and 90.00°. The inequivalent atoms are Lu at (0.0000, 0.0000, 0.2407), Pa at (0.5000, 0.5000, 0.5000) and In at (0.5000, 0.5000, 0.0000).

The magnetization is 0.343 μB per cell.

The most stable of them is #two.

#one
An optimized crystal structure of LuPaIn2, computed with GGA-PBE.

The structure belongs to space group P4/mmm (No. 123); the cell edges are 4.7375, 4.7375 and 4.5530 Å and the angles 90.00°, 90.00° and 90.00°. The inequivalent atoms are Lu at (0.0000, 0.0000, 0.0000), Pa at (0.5000, 0.5000, 0.0000) and In at (0.0000, 0.5000, 0.5000).

The magnetization is 0.007 μB per cell.

#two
An optimized crystal structure of LuPaIn2, computed with GGA-PBE.

The structure belongs to space group Fm-3m (No. 225); the cell edges are 7.4719, 7.4719 and 7.4719 Å and the angles 90.00°, 90.00° and 90.00°. The inequivalent atoms are Lu at (0.0000, 0.0000, 0.0000), Pa at (0.0000, 0.0000, 0.5000) and In at (0.2500, 0.2500, 0.2500).

The magnetization is 4.576 μB per cell.

The most stable of them is #one.

#one
An optimized crystal structure of LuInPb2, computed with GGA-PBE.

The structure belongs to space group P4/mmm (No. 123); the cell edges are 4.1280, 4.1280 and 6.6165 Å and the angles 90.00°, 90.00° and 90.00°. The inequivalent atoms are Lu at (0.0000, 0.0000, 0.0000), In at (0.0000, 0.0000, 0.5000) and Pb at (0.5000, 0.5000, 0.2459).

The magnetization is 0.000 μB per cell.

#two
An optimized crystal structure of LuInPb2, computed with GGA-PBE.

The structure belongs to space group R-3m (No. 166, hexagonal axes); the cell edges are 3.4507, 3.4507 and 35.9011 Å and the angles 90.00°, 90.00° and 120.00°. The inequivalent atoms are Lu at (0.0000, 0.0000, 0.0000), In at (0.0000, 0.0000, 0.5000) and Pb at (0.0000, 0.0000, 0.0877).

The magnetization is 0.000 μB per cell.

#three
An optimized crystal structure of LuInPb2, computed with GGA-PBE.

The structure belongs to space group Fm-3m (No. 225); the cell edges are 7.7208, 7.7208 and 7.7208 Å and the angles 90.00°, 90.00° and 90.00°. The inequivalent atoms are Lu at (0.0000, 0.0000, 0.0000), In at (0.0000, 0.0000, 0.5000) and Pb at (0.2500, 0.2500, 0.2500).

The magnetization is 0.000 μB per cell.

The most stable of them is #one.

#one
An optimized crystal structure of Lu2InPd, computed with GGA-PBE.

The structure belongs to space group R-3m (No. 166, hexagonal axes); the cell edges are 3.6807, 3.6807 and 25.6517 Å and the angles 90.00°, 90.00° and 120.00°. The inequivalent atoms are Lu at (0.0000, 0.0000, 0.2378), In at (0.0000, 0.0000, 0.0000) and Pd at (0.0000, 0.0000, 0.5000).

The magnetization is 0.000 μB per cell.

#two
An optimized crystal structure of Lu2InPd, computed with GGA-PBE.

The structure belongs to space group Fm-3m (No. 225); the cell edges are 7.1490, 7.1490 and 7.1490 Å and the angles 90.00°, 90.00° and 90.00°. The inequivalent atoms are Lu at (0.2500, 0.2500, 0.2500), In at (0.0000, 0.0000, 0.0000) and Pd at (0.0000, 0.0000, 0.5000).

The magnetization is 0.000 μB per cell.

The most stable of them is #two.

#one
An optimized crystal structure of Pm2LuIn, computed with GGA-PBE.

The structure belongs to space group P4/mmm (No. 123); the cell edges are 4.8668, 4.8668 and 4.9414 Å and the angles 90.00°, 90.00° and 90.00°. The inequivalent atoms are Pm at (0.0000, 0.5000, 0.0000), Lu at (0.0000, 0.0000, 0.5000) and In at (0.5000, 0.5000, 0.5000).

The magnetization is 0.023 μB per cell.

#two
An optimized crystal structure of Pm2LuIn, computed with GGA-PBE.

The structure belongs to space group Fm-3m (No. 225); the cell edges are 7.7886, 7.7886 and 7.7886 Å and the angles 90.00°, 90.00° and 90.00°. The inequivalent atoms are Pm at (0.2500, 0.2500, 0.2500), Lu at (0.0000, 0.0000, 0.0000) and In at (0.0000, 0.0000, 0.5000).

The magnetization is 0.030 μB per cell.

The most stable of them is #one.

#one
An optimized crystal structure of PrLu2In, computed with GGA-PBE.

The structure belongs to space group Fm-3m (No. 225); the cell edges are 7.6882, 7.6882 and 7.6882 Å and the angles 90.00°, 90.00° and 90.00°. The inequivalent atoms are Pr at (0.0000, 0.0000, 0.0000), Lu at (0.2500, 0.2500, 0.2500) and In at (0.0000, 0.0000, 0.5000).

The magnetization is 7.031 μB per cell.

#two
An optimized crystal structure of PrLu2In, computed with GGA-PBE.

The structure belongs to space group P4/mmm (No. 123); the cell edges are 3.5888, 3.5888 and 9.0604 Å and the angles 90.00°, 90.00° and 90.00°. The inequivalent atoms are Pr at (0.0000, 0.0000, 0.0000), Lu at (0.5000, 0.5000, 0.2794) and In at (0.0000, 0.0000, 0.5000).

The magnetization is 0.000 μB per cell.

#three
An optimized crystal structure of PrLu2In, computed with GGA-PBE.

The structure belongs to space group R-3m (No. 166, hexagonal axes); the cell edges are 3.4616, 3.4616 and 35.3489 Å and the angles 90.00°, 90.00° and 120.00°. The inequivalent atoms are Pr at (0.0000, 0.0000, 0.0000), Lu at (0.0000, 0.0000, 0.0965) and In at (0.0000, 0.0000, 0.5000).

The magnetization is 0.000 μB per cell.

#four
An optimized crystal structure of PrLu2In, computed with GGA-PBE.

The structure belongs to space group P4/mmm (No. 123); the cell edges are 4.8678, 4.8678 and 4.8196 Å and the angles 90.00°, 90.00° and 90.00°. The inequivalent atoms are Pr at (0.0000, 0.0000, 0.0000), Lu at (0.0000, 0.5000, 0.5000) and In at (0.5000, 0.5000, 0.0000).

The magnetization is 0.002 μB per cell.

The most stable of them is #four.

#one
An optimized crystal structure of PrLuIn, computed with GGA-PBE.

The structure belongs to space group I4mm (No. 107); the cell edges are 3.5900, 3.5900 and 13.7992 Å and the angles 90.00°, 90.00° and 90.00°. The inequivalent atoms are Pr at (0.0000, 0.0000, 0.0000), Lu at (0.0000, 0.0000, 0.6900) and In at (0.0000, 0.0000, 0.3343).

The magnetization is 0.000 μB per cell.

#two
An optimized crystal structure of PrLuIn, computed with GGA-PBE.

The structure belongs to space group P3m1 (No. 156); the cell edges are 5.2630, 5.2630 and 3.7671 Å and the angles 90.00°, 90.00° and 120.00°. The inequivalent atoms are Pr at (0.0000, 0.0000, 0.0000), Lu at (0.6667, 0.3333, 0.5274) and In at (0.3333, 0.6667, 0.4367).

The magnetization is 0.007 μB per cell.

The most stable of them is #one.